(1)
Here is ZnGa2Sn2 after structural relaxation from OQMD. Energies are from PBE.

Properties
uncorrected energy	-2.867	eV per atom

Unit cell a=4.7419 b=4.7419 c=11.1509 alpha=90.00 beta=90.00 gamma=90.00
Last column: nearest neighbours and their distance in Å.
Fractional positions:
Zn1 0.0000 0.0000 0.0000  8 Ga 3.57, 8 Sn 3.66
Zn2 0.5000 0.5000 0.5000  8 Ga 3.57, 8 Sn 3.66
Ga1 0.0000 0.0000 0.3907  1 Ga 2.44
Ga2 0.0000 0.0000 0.6093  1 Ga 2.44
Ga3 0.5000 0.5000 0.1093  1 Ga 2.44
Ga4 0.5000 0.5000 0.8907  1 Ga 2.44
Sn1 0.0000 0.5000 0.2500  4 Ga 2.84
Sn2 0.0000 0.5000 0.7500  4 Ga 2.84
Sn3 0.5000 0.0000 0.2500  4 Ga 2.84
Sn4 0.5000 0.0000 0.7500  4 Ga 2.84

(2)
Here is Zn3Mo2W4N3 after structural relaxation from OQMD. Energies are from PBE.

Properties
uncorrected energy	-8.514	eV per atom

Unit cell a=4.8863 b=4.8863 c=15.1220 alpha=99.30 beta=99.30 gamma=60.11
Last column: nearest neighbours and their distance in Å.
Fractional positions:
Zn1 0.0868 0.9132 0.7500  2 Mo 2.80, 4 W 2.80, 6 Zn 2.82-2.83
Zn2 0.2446 0.4211 0.2497  4 W 2.78-2.80, 2 Mo 2.81, 6 Zn 2.82-2.83
Zn3 0.4211 0.2446 0.7497  4 W 2.78-2.80, 2 Mo 2.81, 6 Zn 2.82-2.83
Zn4 0.5789 0.7554 0.2503  4 W 2.78-2.80, 2 Mo 2.81, 6 Zn 2.82-2.83
Zn5 0.7554 0.5789 0.7503  4 W 2.78-2.80, 2 Mo 2.81, 6 Zn 2.82-2.83
Zn6 0.9132 0.0868 0.2500  2 Mo 2.80, 4 W 2.80, 6 Zn 2.82-2.83
Mo1 0.3677 0.5313 0.5967  3 N 2.18-2.19
Mo2 0.4687 0.6323 0.9033  3 N 2.18-2.19
Mo3 0.5313 0.3677 0.0967  3 N 2.18-2.19
Mo4 0.6323 0.4687 0.4033  3 N 2.18-2.19
W1 0.0326 0.1989 0.5972  3 N 2.16-2.18
W2 0.1362 0.2996 0.9027  3 N 2.16-2.18
W3 0.1989 0.0326 0.0972  3 N 2.16-2.18
W4 0.2996 0.1362 0.4027  3 N 2.16-2.18
W5 0.7004 0.8638 0.5973  3 N 2.16-2.18
W6 0.8011 0.9674 0.9028  3 N 2.16-2.18
W7 0.8638 0.7004 0.0973  3 N 2.16-2.18
W8 0.9674 0.8011 0.4028  3 N 2.16-2.18
N1 0.0000 0.5000 0.5000  4 W 2.17-2.18, 2 Mo 2.18
N2 0.1595 0.6698 0.0000  4 W 2.16-2.18, 2 Mo 2.19
N3 0.3302 0.8405 0.5000  4 W 2.16-2.18, 2 Mo 2.19
N4 0.5000 0.0000 0.0000  4 W 2.17-2.18, 2 Mo 2.18
N5 0.6698 0.1595 0.5000  4 W 2.16-2.18, 2 Mo 2.19
N6 0.8405 0.3302 0.0000  4 W 2.16-2.18, 2 Mo 2.19

(3)
Here is HoLu3Pb2C2 after structural relaxation from OQMD. Energies are from PBE.

Properties
uncorrected energy	-6.044	eV per atom

Unit cell a=3.5738 b=3.5738 c=15.7666 alpha=90.00 beta=90.00 gamma=120.00
Last column: nearest neighbours and their distance in Å.
Fractional positions:
Ho1 0.0000 0.0000 0.0000  3 C 2.46
Lu1 0.0000 0.0000 0.3365  3 C 2.43
Lu2 0.3333 0.6667 0.4988  3 C 2.43
Lu3 0.3333 0.6667 0.8350  3 C 2.42
Pb1 0.0000 0.0000 0.6670  6 Lu 3.36, 6 Pb 3.57
Pb2 0.3333 0.6667 0.1696  3 Lu 3.34, 3 Ho 3.38, 6 Pb 3.57
C1 0.6667 0.3333 0.4178  6 Lu 2.43
C2 0.6667 0.3333 0.9155  3 Lu 2.42, 3 Ho 2.46